# 1
Entry from Alexandria via LeMat-Bulk: Zr4CoRh after structural relaxation (PBE-GGA).

a b c (Å): 5.3445 5.3445 5.3445
angles (deg): 105.68 105.68 117.36
Closest atoms and distances in Å follow each position.
Fractional coordinates of all 6 atoms:
Zr: 0.5826 0.0826 0.1653  2 Co 2.78, 2 Rh 2.78, 1 Zr 3.06
Zr: 0.4174 0.5826 0.5000  2 Co 2.78, 2 Rh 2.78, 1 Zr 3.06
Zr: 0.0826 0.9174 0.5000  2 Rh 2.78, 2 Co 2.78, 1 Zr 3.06
Zr: 0.9174 0.4174 0.8347  2 Rh 2.78, 2 Co 2.78, 1 Zr 3.06
Co: 0.0000 0.0000 0.0000  8 Zr 2.78, 2 Rh 2.78
Rh: 0.5000 0.5000 0.0000  8 Zr 2.78, 2 Co 2.78

Summary:
Crystal system   tetragonal
DFT total energy   -8.504 eV/atom
DOS at the Fermi energy   9.45 states/eV/cell
V   19.30 Å³/atom
Total magnetization   0.0 μB/f.u.
Energy of formation from the pure elements   -2.37 eV/f.u.
Offset from the most stable computed form   0 meV per atom


# 2
Entry from Alexandria via LeMat-Bulk: BeFeNi2Pt after structural relaxation (PBE-GGA).

a b c (Å): 4.5960 4.6182 4.5960
angles (deg): 90.00 90.00 90.00
Closest atoms and distances in Å follow each position.
Fractional coordinates of all 5 atoms:
Pt: 0.0000 0.0000 0.0000  4 Ni 2.30, 2 Fe 2.31
Ni: 0.0000 0.0000 0.5000  2 Pt 2.30
Ni: 0.5000 0.0000 0.0000  2 Pt 2.30
Be: 0.5000 0.5000 0.5000  4 Fe 3.25, 8 Ni 3.26
Fe: 0.0000 0.5000 0.0000  2 Pt 2.31

Summary:
Crystal system   tetragonal
DFT total energy   -4.521 eV/atom
DOS at the Fermi energy   8.96 states/eV/cell
V   19.51 Å³/atom
Total magnetization   5.0 μB/f.u.
Energy of formation from the pure elements   7.19 eV/f.u.


# 3
Entry from Alexandria via LeMat-Bulk: Si2Se after structural relaxation (PBE-GGA).

a b c (Å): 5.0534 5.0534 10.1887
angles (deg): 90.00 90.00 120.00
Closest atoms and distances in Å follow each position.
Fractional coordinates of all 12 atoms:
Si: 0.1664 0.8336 0.7500  4 Si 2.52-2.53, 2 Se 2.81
Si: 0.0000 0.0000 0.5000  6 Se 2.92, 6 Si 2.93
Si: 0.8336 0.1664 0.2500  4 Si 2.52-2.53, 2 Se 2.81
Si: 0.0000 0.0000 0.0000  6 Se 2.92, 6 Si 2.93
Si: 0.8336 0.6672 0.2500  4 Si 2.52-2.53, 2 Se 2.81
Si: 0.3328 0.1664 0.2500  4 Si 2.52-2.53, 2 Se 2.81
Si: 0.6672 0.8336 0.7500  4 Si 2.52-2.53, 2 Se 2.81
Si: 0.1664 0.3328 0.7500  4 Si 2.52-2.53, 2 Se 2.81
Se: 0.6667 0.3333 0.4853  6 Si 2.81-2.92, 3 Se 2.93
Se: 0.3333 0.6667 0.9853  6 Si 2.81-2.92, 3 Se 2.93
Se: 0.6667 0.3333 0.0147  6 Si 2.81-2.92, 3 Se 2.93
Se: 0.3333 0.6667 0.5147  6 Si 2.81-2.92, 3 Se 2.93

Summary:
Crystal system   hexagonal
DFT total energy   -4.242 eV/atom
DOS at the Fermi energy   6.06 states/eV/cell
V   18.78 Å³/atom
Uncorrected formation energy   51.6 kJ per mole of atoms
Total magnetization   0.0 μB/f.u.
Offset from the most stable computed form   703 meV per atom


# 4
Entry from Alexandria via LeMat-Bulk: Na2SiB2Pd5 after structural relaxation (PBE-GGA).

a b c (Å): 2.9825 9.6484 9.6484
angles (deg): 90.00 90.00 90.00
Closest atoms and distances in Å follow each position.
Fractional coordinates of all 20 atoms:
B: 0.0000 0.8759 0.3759  6 Pd 2.22-2.26
B: 0.0000 0.1241 0.6241  6 Pd 2.22-2.26
B: 0.0000 0.6241 0.8759  6 Pd 2.22-2.26
B: 0.0000 0.3759 0.1241  6 Pd 2.22-2.26
Pd: 0.5000 0.2158 0.0666  2 B 2.22
Pd: 0.5000 0.7158 0.4334  2 B 2.22
Pd: 0.5000 0.2842 0.5666  2 B 2.22
Pd: 0.5000 0.7842 0.9334  2 B 2.22
Pd: 0.5000 0.9334 0.2158  2 B 2.22
Pd: 0.5000 0.4334 0.2842  2 B 2.22
Pd: 0.5000 0.5000 0.0000  4 B 2.26
Pd: 0.5000 0.0000 0.5000  4 B 2.26
Pd: 0.5000 0.0666 0.7842  2 B 2.22
Pd: 0.5000 0.5666 0.7158  2 B 2.22
Si: 0.0000 0.5000 0.5000  8 Pd 2.64
Si: 0.0000 0.0000 0.0000  8 Pd 2.64
Na: 0.0000 0.1773 0.3227  3 B 2.71-2.95, 10 Pd 2.84-2.97, 2 Na 2.98
Na: 0.0000 0.3227 0.8227  3 B 2.71-2.95, 10 Pd 2.84-2.97, 2 Na 2.98
Na: 0.0000 0.6773 0.1773  3 B 2.71-2.95, 10 Pd 2.84-2.97, 2 Na 2.98
Na: 0.0000 0.8227 0.6773  3 B 2.71-2.95, 10 Pd 2.84-2.97, 2 Na 2.98

Summary:
Crystal system   tetragonal
DFT total energy   -5.030 eV/atom
DOS at the Fermi energy   7.70 states/eV/cell
V   13.88 Å³/atom
Uncorrected formation energy   -28.2 kJ per mole of atoms
Total magnetization   0.0 μB/f.u.


# 5
Entry from Alexandria via LeMat-Bulk: UAg2Se4 after structural relaxation (PBE-GGA).

a b c (Å): 8.0497 8.0497 11.6508
angles (deg): 90.00 90.00 90.00
Closest atoms and distances in Å follow each position.
Fractional coordinates of all 28 atoms:
U: 0.0000 0.7333 0.5000  6 Se 2.65-2.80
U: 0.2667 0.0000 0.7500  6 Se 2.65-2.80
U: 0.0000 0.2667 0.0000  6 Se 2.65-2.80
U: 0.7333 0.0000 0.2500  6 Se 2.65-2.80
Ag: 0.5000 0.2345 0.0000  6 Se 2.84-2.86
Ag: 0.2558 0.7442 0.1250  4 Se 2.60-2.67
Ag: 0.2345 0.5000 0.7500  6 Se 2.84-2.86
Ag: 0.7442 0.7442 0.8750  4 Se 2.60-2.67
Ag: 0.7442 0.2558 0.6250  4 Se 2.60-2.67
Ag: 0.5000 0.7655 0.5000  6 Se 2.84-2.86
Ag: 0.7655 0.5000 0.2500  6 Se 2.84-2.86
Ag: 0.2558 0.2558 0.3750  4 Se 2.60-2.67
Se: 0.5164 0.7522 0.2569  3 Ag 2.60-2.85, 1 U 2.65
Se: 0.5164 0.2478 0.2431  3 Ag 2.60-2.85, 1 U 2.65
Se: 0.7713 0.9944 0.4848  2 Ag 2.67-2.86, 2 U 2.75-2.80
Se: 0.7522 0.4836 0.0069  3 Ag 2.60-2.85, 1 U 2.65
Se: 0.9944 0.2287 0.2348  2 Ag 2.67-2.86, 2 U 2.75-2.80
Se: 0.2287 0.9944 0.5152  2 Ag 2.67-2.86, 2 U 2.75-2.80
Se: 0.9944 0.7713 0.2652  2 Ag 2.67-2.86, 2 U 2.75-2.80
Se: 0.2287 0.0056 0.9848  2 Ag 2.67-2.86, 2 U 2.75-2.80
Se: 0.0056 0.2287 0.7652  2 Ag 2.67-2.86, 2 U 2.75-2.80
Se: 0.2478 0.4836 0.9931  3 Ag 2.60-2.85, 1 U 2.65
Se: 0.7522 0.5164 0.4931  3 Ag 2.60-2.85, 1 U 2.65
Se: 0.4836 0.7522 0.7431  3 Ag 2.60-2.85, 1 U 2.65
Se: 0.4836 0.2478 0.7569  3 Ag 2.60-2.85, 1 U 2.65
Se: 0.2478 0.5164 0.5069  3 Ag 2.60-2.85, 1 U 2.65
Se: 0.0056 0.7713 0.7348  2 Ag 2.67-2.86, 2 U 2.75-2.80
Se: 0.7713 0.0056 0.0152  2 Ag 2.67-2.86, 2 U 2.75-2.80

Summary:
Crystal system   tetragonal
DFT total energy   -4.943 eV/atom
DOS at the Fermi energy   8.65 states/eV/cell
V   26.96 Å³/atom
Uncorrected formation energy   -50.6 kJ per mole of atoms
Total magnetization   0.1 μB/f.u.
Offset from the most stable computed form   12 meV per atom


# 6
Entry from Alexandria via LeMat-Bulk: Ac2LaGeN2 after structural relaxation (PBE-GGA).

a b c (Å): 6.2015 7.2693 7.2655
angles (deg): 98.49 90.00 90.00
Closest atoms and distances in Å follow each position.
Fractional coordinates of all 12 atoms:
Ac: 0.2500 0.0934 0.4326  2 N 2.33
Ac: 0.2500 0.6311 0.7526  2 N 2.40
Ac: 0.7500 0.3689 0.2474  2 N 2.40
Ac: 0.7500 0.9066 0.5674  2 N 2.33
N: 0.5050 0.1101 0.2004  2 Ac 2.33-2.40, 2 La 2.44-2.45
N: 0.0050 0.8899 0.7996  2 Ac 2.33-2.40, 2 La 2.44-2.45
N: 0.9950 0.1101 0.2004  2 Ac 2.33-2.40, 2 La 2.44-2.45
N: 0.4950 0.8899 0.7996  2 Ac 2.33-2.40, 2 La 2.44-2.45
Ge: 0.7500 0.3707 0.7219  4 Ac 3.39-3.62
Ge: 0.2500 0.6293 0.2781  4 Ac 3.39-3.62
La: 0.2500 0.1305 0.9486  4 N 2.44-2.45
La: 0.7500 0.8695 0.0514  4 N 2.44-2.45

Summary:
Crystal system   monoclinic
DFT total energy   -6.621 eV/atom
DOS at the Fermi energy   10.41 states/eV/cell
V   27.00 Å³/atom
Uncorrected formation energy   -85.4 kJ per mole of atoms
Total magnetization   0.0 μB/f.u.


# 7
Entry from Alexandria via LeMat-Bulk: TbSm3Tl2 after structural relaxation (PBE-GGA).

a b c (Å): 5.3785 9.1935 9.5157
angles (deg): 123.24 90.00 107.01
Closest atoms and distances in Å follow each position.
Fractional coordinates of all 12 atoms:
Sm: 0.3803 0.7605 0.3133  3 Tl 3.08-3.17
Sm: 0.6949 0.3897 0.3874  2 Tl 3.12-3.38, 2 Sm 3.29
Sm: 0.3051 0.6103 0.6126  2 Tl 3.12-3.38, 2 Sm 3.29
Sm: 0.0556 0.1112 0.3958  3 Tl 3.40-3.69, 6 Sm 3.49-3.67, 1 Tb 3.78
Sm: 0.9444 0.8888 0.6042  3 Tl 3.40-3.69, 6 Sm 3.49-3.67, 1 Tb 3.78
Sm: 0.6197 0.2395 0.6867  3 Tl 3.08-3.17
Tb: 0.8727 0.7453 0.9168  5 Tl 3.24-3.54, 2 Sm 3.62
Tb: 0.1273 0.2547 0.0832  5 Tl 3.24-3.54, 2 Sm 3.62
Tl: 0.4789 0.9578 0.1301  1 Tl 2.96, 2 Sm 3.08-3.12, 2 Tb 3.24
Tl: 0.7724 0.5447 0.1347  4 Sm 3.17-3.50, 3 Tb 3.41-3.54, 2 Tl 3.48
Tl: 0.2276 0.4553 0.8653  4 Sm 3.17-3.50, 3 Tb 3.41-3.54, 2 Tl 3.48
Tl: 0.5211 0.0422 0.8699  1 Tl 2.96, 2 Sm 3.08-3.12, 2 Tb 3.24

Summary:
Crystal system   monoclinic
DFT total energy   -4.075 eV/atom
DOS at the Fermi energy   14.33 states/eV/cell
V   30.72 Å³/atom
Total magnetization   0.0 μB/f.u.
Energy of formation from the pure elements   -0.93 eV/f.u.
Offset from the most stable computed form   116 meV per atom


# 8
Entry from Alexandria via LeMat-Bulk: TeP2Ir after structural relaxation (PBE-GGA).

a b c (Å): 3.3235 3.3235 7.0716
angles (deg): 90.00 90.00 90.00
Closest atoms and distances in Å follow each position.
Fractional coordinates of all 4 atoms:
Ir: 0.5000 0.5000 0.7776  1 P 2.42
Te: 0.0000 0.0000 0.5752  4 Ir 2.75
P: 0.5000 0.5000 0.1198  1 Ir 2.42, 4 P 2.44
P: 0.0000 0.0000 0.0273  4 P 2.44

Summary:
Crystal system   tetragonal
DFT total energy   -5.365 eV/atom
DOS at the Fermi energy   3.17 states/eV/cell
V   19.53 Å³/atom
Uncorrected formation energy   32.9 kJ per mole of atoms
Total magnetization   0.0 μB/f.u.


# 9
Entry from Alexandria via LeMat-Bulk: BaTl4Br6 after structural relaxation (PBE-GGA).

a b c (Å): 6.6877 6.6878 12.3444
angles (deg): 117.70 117.70 79.69
Closest atoms and distances in Å follow each position.
Fractional coordinates of all 11 atoms:
Br: 0.0721 0.5845 0.9912  2 Tl 3.28-3.43, 2 Ba 3.34-3.37
Br: 0.6193 0.0659 0.6750  4 Tl 3.20-3.50, 1 Ba 3.41
Br: 0.9034 0.9034 0.3639  3 Tl 3.12-3.22
Br: 0.2976 0.2976 0.2932  1 Ba 3.26, 4 Tl 3.30-3.43
Br: 0.5845 0.0721 0.9912  2 Tl 3.28-3.43, 2 Ba 3.34-3.37
Br: 0.0659 0.6193 0.6750  4 Tl 3.20-3.50, 1 Ba 3.41
Tl: 0.8230 0.3580 0.3237  6 Br 3.22-3.55
Tl: 0.3580 0.8230 0.3237  6 Br 3.22-3.55
Tl: 0.5802 0.5802 0.7195  4 Br 3.20-3.43
Tl: 0.1329 0.1329 0.6816  3 Br 3.12-3.24
Ba: 0.0632 0.0632 0.9618  7 Br 3.26-3.41

Summary:
Crystal system   monoclinic
DFT total energy   -3.132 eV/atom
DOS at the Fermi energy   0.00 states/eV/cell
V   39.31 Å³/atom
Uncorrected formation energy   -114.3 kJ per mole of atoms
Total magnetization   0.0 μB/f.u.


# 10
Entry from Alexandria via LeMat-Bulk: Ac6Os2I3N after structural relaxation (PBE-GGA).

a b c (Å): 7.3841 7.3841 8.9117
angles (deg): 97.94 97.94 120.00
Closest atoms and distances in Å follow each position.
Fractional coordinates of all 12 atoms:
I: 0.5000 0.5000 0.5000  6 Ac 3.66-3.77
I: 0.8287 0.1713 0.5000  6 Ac 3.66-3.74
I: 0.1713 0.8287 0.5000  6 Ac 3.66-3.74
Os: 0.3335 0.6665 0.0000  6 Ac 2.95
Os: 0.6665 0.3335 0.0000  6 Ac 2.95
Ac: 0.9406 0.6231 0.8216  1 N 2.80, 2 Os 2.95
Ac: 0.2575 0.2575 0.8207  1 N 2.80, 2 Os 2.95
Ac: 0.3769 0.0594 0.1784  1 N 2.80, 2 Os 2.95
Ac: 0.6231 0.9406 0.8216  1 N 2.80, 2 Os 2.95
Ac: 0.7425 0.7425 0.1793  1 N 2.80, 2 Os 2.95
Ac: 0.0594 0.3769 0.1784  1 N 2.80, 2 Os 2.95
N: 0.0000 0.0000 0.0000  6 Ac 2.80

Summary:
Crystal system   monoclinic
DFT total energy   -5.769 eV/atom
DOS at the Fermi energy   8.34 states/eV/cell
V   33.70 Å³/atom
Uncorrected formation energy   -73.5 kJ per mole of atoms
Total magnetization   0.0 μB/f.u.


# 11
Entry from Alexandria via LeMat-Bulk: PrSm7Tm2 after structural relaxation (PBE-GGA).

a b c (Å): 5.7440 9.1443 9.1443
angles (deg): 121.70 90.00 90.00
Closest atoms and distances in Å follow each position.
Fractional coordinates of all 10 atoms:
Pr: 0.0000 0.0000 0.0000  10 Sm 3.65-3.78
Sm: 0.5000 0.5000 0.5000  2 Tm 3.26, 4 Sm 3.42
Sm: 0.5000 0.0617 0.2962  2 Tm 3.18-3.27, 2 Sm 3.19-3.42
Sm: 0.5000 0.2962 0.0617  2 Tm 3.18-3.27, 2 Sm 3.19-3.42
Sm: 0.0000 0.7716 0.2284  2 Tm 3.07
Sm: 0.5000 0.9383 0.7038  2 Tm 3.18-3.27, 2 Sm 3.19-3.42
Sm: 0.0000 0.2284 0.7716  2 Tm 3.07
Sm: 0.5000 0.7038 0.9383  2 Tm 3.18-3.27, 2 Sm 3.19-3.42
Tm: 0.5000 0.2961 0.7039  7 Sm 3.07-3.27
Tm: 0.5000 0.7039 0.2961  7 Sm 3.07-3.27

Summary:
Crystal system   orthorhombic
DFT total energy   -4.020 eV/atom
DOS at the Fermi energy   13.96 states/eV/cell
V   40.86 Å³/atom
Total magnetization   0.0 μB/f.u.
Energy of formation from the pure elements   6.56 eV/f.u.
Offset from the most stable computed form   612 meV per atom


# 12
Entry from Alexandria via LeMat-Bulk: BeMoAs2 after structural relaxation (PBE-GGA).

a b c (Å): 4.5821 4.5821 4.5821
angles (deg): 126.58 126.58 78.93
Closest atoms and distances in Å follow each position.
Fractional coordinates of all 4 atoms:
Mo: 0.7500 0.2500 0.5000  8 As 2.71, 4 Be 2.91
As: 0.0000 0.0000 0.0000  4 Mo 2.71, 4 Be 2.71, 4 As 2.91
As: 0.5000 0.5000 0.0000  4 Mo 2.71, 4 Be 2.71, 4 As 2.91
Be: 0.2500 0.7500 0.5000  8 As 2.71, 4 Mo 2.91

Summary:
Crystal system   tetragonal
DFT total energy   -5.593 eV/atom
DOS at the Fermi energy   3.26 states/eV/cell
V   15.00 Å³/atom
Total magnetization   0.8 μB/f.u.
Energy of formation from the pure elements   1.48 eV/f.u.


What did the seventh record say?
Entry from Alexandria via LeMat-Bulk: TbSm3Tl2 after structural relaxation (PBE-GGA).

a b c (Å): 5.3785 9.1935 9.5157
angles (deg): 123.24 90.00 107.01
Closest atoms and distances in Å follow each position.
Fractional coordinates of all 12 atoms:
Sm: 0.3803 0.7605 0.3133  3 Tl 3.08-3.17
Sm: 0.6949 0.3897 0.3874  2 Tl 3.12-3.38, 2 Sm 3.29
Sm: 0.3051 0.6103 0.6126  2 Tl 3.12-3.38, 2 Sm 3.29
Sm: 0.0556 0.1112 0.3958  3 Tl 3.40-3.69, 6 Sm 3.49-3.67, 1 Tb 3.78
Sm: 0.9444 0.8888 0.6042  3 Tl 3.40-3.69, 6 Sm 3.49-3.67, 1 Tb 3.78
Sm: 0.6197 0.2395 0.6867  3 Tl 3.08-3.17
Tb: 0.8727 0.7453 0.9168  5 Tl 3.24-3.54, 2 Sm 3.62
Tb: 0.1273 0.2547 0.0832  5 Tl 3.24-3.54, 2 Sm 3.62
Tl: 0.4789 0.9578 0.1301  1 Tl 2.96, 2 Sm 3.08-3.12, 2 Tb 3.24
Tl: 0.7724 0.5447 0.1347  4 Sm 3.17-3.50, 3 Tb 3.41-3.54, 2 Tl 3.48
Tl: 0.2276 0.4553 0.8653  4 Sm 3.17-3.50, 3 Tb 3.41-3.54, 2 Tl 3.48
Tl: 0.5211 0.0422 0.8699  1 Tl 2.96, 2 Sm 3.08-3.12, 2 Tb 3.24

Summary:
Crystal system   monoclinic
DFT total energy   -4.075 eV/atom
DOS at the Fermi energy   14.33 states/eV/cell
V   30.72 Å³/atom
Total magnetization   0.0 μB/f.u.
Energy of formation from the pure elements   -0.93 eV/f.u.
Offset from the most stable computed form   116 meV per atom